Entry 1:
A geometry-optimized RbAgMoS4 structure. Source: Alexandria, functional PBE.

a = 7.6947 Å, b = 7.6947 Å, c = 7.8873 Å
α = 90.00°, β = 90.00°, γ = 108.09°
Closest atoms and distances in Å follow each position.
Fractional coordinates of all 14 atoms:
Rb 0.5000 0.5000 0.5000  6 S 3.34-3.38
Rb 0.5000 0.5000 0.0000  6 S 3.34-3.38
S 0.2325 0.1764 0.2500  1 Mo 2.23
S 0.7675 0.8236 0.7500  1 Mo 2.23
S 0.1764 0.2325 0.7500  1 Mo 2.23
S 0.8236 0.7675 0.2500  1 Mo 2.23
S 0.2289 0.7711 0.0201  1 Mo 2.20
S 0.7711 0.2289 0.5201  1 Mo 2.20
S 0.2289 0.7711 0.4799  1 Mo 2.20
S 0.7711 0.2289 0.9799  1 Mo 2.20
Ag 0.1130 0.8870 0.7500  4 S 2.55-2.57
Ag 0.8870 0.1130 0.2500  4 S 2.55-2.57
Mo 0.8718 0.1282 0.7500  4 S 2.20-2.23
Mo 0.1282 0.8718 0.2500  4 S 2.20-2.23

formation energy (no corrections)	-0.566	eV per atom
crystal system	orthorhombic
magnetic moment	0.0	μB per formula unit


Entry 2:
A geometry-optimized ZrZnFeRu structure. Source: Alexandria, functional PBE.

a = 4.4129 Å, b = 4.4129 Å, c = 4.4129 Å
α = 60.00°, β = 60.00°, γ = 60.00°
Closest atoms and distances in Å follow each position.
Fractional coordinates of all 4 atoms:
Zr 0.5000 0.5000 0.5000  4 Fe 2.70, 4 Ru 2.70
Zn 0.0000 0.0000 0.0000  4 Ru 2.70, 4 Fe 2.70
Fe 0.7500 0.7500 0.7500  4 Zn 2.70, 4 Zr 2.70
Ru 0.2500 0.2500 0.2500  4 Zr 2.70, 4 Zn 2.70

formation energy from the elements	-135	meV/atom
crystal system	cubic
magnetic moment	1.9	μB per formula unit


Entry 3:
A geometry-optimized Ba2Li2Bi structure. Source: Alexandria, functional PBE.

a = 8.0025 Å, b = 8.0025 Å, c = 5.3237 Å
α = 90.00°, β = 90.00°, γ = 90.00°
Closest atoms and distances in Å follow each position.
Fractional coordinates of all 10 atoms:
Li 0.6247 0.1247 0.0000  1 Li 2.82
Li 0.3753 0.8753 0.0000  1 Li 2.82
Li 0.8753 0.6247 0.0000  1 Li 2.82
Li 0.1247 0.3753 0.0000  1 Li 2.82
Ba 0.8066 0.3066 0.5000  6 Li 3.36-3.72
Ba 0.1934 0.6934 0.5000  6 Li 3.36-3.72
Ba 0.6934 0.8066 0.5000  6 Li 3.36-3.72
Ba 0.3066 0.1934 0.5000  6 Li 3.36-3.72
Bi 0.0000 0.0000 0.0000  4 Li 3.16
Bi 0.5000 0.5000 0.0000  4 Li 3.16

formation energy from the elements	-354	meV/atom
energy above the most stable polymorph in this dataset	0.00	kcal/mol of atoms
crystal system	tetragonal
magnetic moment	0.0	μB per formula unit


Entry 4:
A geometry-optimized Pa2AsP2N2 structure. Source: Alexandria, functional PBE.

a = 3.8661 Å, b = 3.8661 Å, c = 11.1434 Å
α = 90.00°, β = 90.00°, γ = 120.00°
Closest atoms and distances in Å follow each position.
Fractional coordinates of all 7 atoms:
N 0.3333 0.6667 0.4249  4 Pa 2.31-2.32
N 0.6667 0.3333 0.5751  4 Pa 2.31-2.32
Pa 0.6667 0.3333 0.3674  4 N 2.31-2.32
Pa 0.3333 0.6667 0.6326  4 N 2.31-2.32
As 0.0000 0.0000 0.0000  2 P 2.35
P 0.0000 0.0000 0.2111  1 As 2.35
P 0.0000 0.0000 0.7889  1 As 2.35

formation energy (no corrections)	-0.841	eV per atom
crystal system	trigonal
magnetic moment	0.0	μB per formula unit


Entry 5:
A geometry-optimized Tb3Nd2HoS6 structure. Source: Alexandria, functional PBE.

a = 3.9524 Å, b = 7.9841 Å, c = 8.8639 Å
α = 103.10°, β = 102.88°, γ = 90.00°
Closest atoms and distances in Å follow each position.
Fractional coordinates of all 12 atoms:
S 0.3356 0.9264 0.6712  1 Ho 2.76, 3 Tb 2.77-2.80, 2 Nd 2.87
S 0.9964 0.2448 0.9929  3 Tb 2.78-2.83, 2 Ho 2.79, 1 Nd 2.88
S 0.6633 0.5912 0.3265  3 Tb 2.74-2.75, 3 Nd 2.84-2.85
S 0.6644 0.0736 0.3288  1 Ho 2.76, 3 Tb 2.77-2.80, 2 Nd 2.87
S 0.3367 0.4088 0.6735  3 Tb 2.74-2.75, 3 Nd 2.84-2.85
S 0.0036 0.7552 0.0071  3 Tb 2.78-2.83, 2 Ho 2.79, 1 Nd 2.88
Tb 0.5000 0.5000 0.0000  6 S 2.74-2.83
Tb 0.1691 0.8334 0.3382  6 S 2.75-2.80
Tb 0.8309 0.1666 0.6618  6 S 2.75-2.80
Ho 0.5000 0.0000 0.0000  6 S 2.76-2.79
Nd 0.8324 0.6642 0.6648  6 S 2.84-2.88
Nd 0.1676 0.3358 0.3352  6 S 2.84-2.88

formation energy (no corrections)	-2.007	eV per atom
crystal system	monoclinic
magnetic moment	0.0	μB per formula unit


Entry 6:
A geometry-optimized Ca2PRu structure. Source: Alexandria, functional PBE.

a = 4.0084 Å, b = 4.4966 Å, c = 5.5919 Å
α = 66.31°, β = 90.00°, γ = 90.00°
Closest atoms and distances in Å follow each position.
Fractional coordinates of all 4 atoms:
Ru 0.5000 0.5734 0.7282  2 P 2.28
Ca 0.5000 0.2672 0.3403  3 Ru 3.00-3.13, 4 P 3.15
Ca 0.0000 0.9807 0.9137  3 P 3.03-3.09, 4 Ru 3.16
P 0.0000 0.6786 0.5178  2 Ru 2.28

formation energy from the elements	-570	meV/atom
crystal system	orthorhombic
magnetic moment	0.0	μB per formula unit


Entry 7:
A geometry-optimized SiAg2Bi2 structure. Source: Alexandria, functional PBE.

a = 4.4959 Å, b = 4.4959 Å, c = 7.3954 Å
α = 72.30°, β = 72.30°, γ = 90.00°
Closest atoms and distances in Å follow each position.
Fractional coordinates of all 5 atoms:
Ag 0.5982 0.5982 0.8037  1 Ag 2.62
Ag 0.4018 0.4018 0.1963  1 Ag 2.62
Bi 0.7500 0.2500 0.5000  4 Ag 3.03, 4 Bi 3.18
Bi 0.2500 0.7500 0.5000  4 Ag 3.03, 4 Bi 3.18
Si 0.0000 0.0000 0.0000  8 Ag 3.44

formation energy (no corrections)	0.626	eV per atom
energy above the most stable polymorph in this dataset	7.10	kcal/mol of atoms
crystal system	tetragonal
magnetic moment	0.0	μB per formula unit


Entry 8:
A geometry-optimized Sm2AlGa6Cu structure. Source: Alexandria, functional PBE.

a = 6.3486 Å, b = 6.3486 Å, c = 12.2750 Å
α = 75.01°, β = 75.01°, γ = 60.00°
Closest atoms and distances in Å follow each position.
Fractional coordinates of all 20 atoms:
Ga 0.0522 0.6582 0.6315  1 Cu 2.38, 2 Ga 2.50
Ga 0.7682 0.3264 0.1372  1 Cu 2.47, 1 Al 2.60
Ga 0.2318 0.6736 0.8628  1 Cu 2.47, 1 Al 2.60
Ga 0.7682 0.7682 0.1372  1 Cu 2.47, 1 Al 2.60
Ga 0.3418 0.9478 0.3685  1 Cu 2.38, 2 Ga 2.50
Ga 0.3418 0.3418 0.3685  1 Cu 2.38, 2 Ga 2.50
Ga 0.2318 0.2318 0.8628  1 Cu 2.47, 1 Al 2.60
Ga 0.6582 0.0522 0.6315  1 Cu 2.38, 2 Ga 2.50
Ga 0.6736 0.2318 0.8628  1 Cu 2.47, 1 Al 2.60
Ga 0.9478 0.3418 0.3685  1 Cu 2.38, 2 Ga 2.50
Ga 0.3264 0.7682 0.1372  1 Cu 2.47, 1 Al 2.60
Ga 0.6582 0.6582 0.6315  1 Cu 2.38, 2 Ga 2.50
Sm 0.1185 0.1185 0.6444  12 Ga 3.20-3.54
Sm 0.6996 0.6996 0.9012  12 Ga 3.20-3.47
Sm 0.8815 0.8815 0.3556  12 Ga 3.20-3.54
Sm 0.3004 0.3004 0.0988  12 Ga 3.20-3.47
Al 0.0000 0.0000 0.0000  6 Ga 2.60
Al 0.5000 0.5000 0.5000  2 Cu 2.38
Cu 0.4322 0.4322 0.7035  6 Ga 2.38-2.47, 1 Al 2.38
Cu 0.5678 0.5678 0.2965  6 Ga 2.38-2.47, 1 Al 2.38

formation energy from the elements	-283	meV/atom
crystal system	trigonal
magnetic moment	0.0	μB per formula unit


Entry 9:
A geometry-optimized NaTbTi4O12 structure. Source: Alexandria, functional PBE.

a = 5.4268 Å, b = 5.4268 Å, c = 7.8263 Å
α = 90.00°, β = 90.00°, γ = 90.00°
Closest atoms and distances in Å follow each position.
Fractional coordinates of all 18 atoms:
O 0.7588 0.2412 0.7270  2 Ti 1.94
O 0.0000 0.5000 0.5000  2 Ti 2.04
O 0.0000 0.5000 0.0000  2 Ti 1.88
O 0.2412 0.7588 0.2730  2 Ti 1.94
O 0.2412 0.7588 0.7270  2 Ti 1.94
O 0.5000 0.0000 0.5000  2 Ti 2.04
O 0.2412 0.2412 0.7270  2 Ti 1.94
O 0.2412 0.2412 0.2730  2 Ti 1.94
O 0.7588 0.2412 0.2730  2 Ti 1.94
O 0.7588 0.7588 0.7270  2 Ti 1.94
O 0.7588 0.7588 0.2730  2 Ti 1.94
O 0.5000 0.0000 0.0000  2 Ti 1.88
Na 0.5000 0.5000 0.0000  12 O 2.71-2.92
Ti 0.5000 0.0000 0.2398  6 O 1.88-2.04
Ti 0.0000 0.5000 0.2398  6 O 1.88-2.04
Ti 0.5000 0.0000 0.7602  6 O 1.88-2.04
Ti 0.0000 0.5000 0.7602  6 O 1.88-2.04
Tb 0.0000 0.0000 0.5000  12 O 2.57-2.71

formation energy (no corrections)	-2.429	eV per atom
crystal system	tetragonal
magnetic moment	3.9	μB per formula unit


Entry 10:
A geometry-optimized LaBe3S structure. Source: Alexandria, functional PBE.

a = 4.3618 Å, b = 4.3618 Å, c = 4.3618 Å
α = 90.00°, β = 90.00°, γ = 90.00°
Closest atoms and distances in Å follow each position.
Fractional coordinates of all 5 atoms:
Be 0.0000 0.0000 0.5000  2 S 2.18
Be 0.0000 0.5000 0.0000  2 S 2.18
Be 0.5000 0.0000 0.0000  2 S 2.18
La 0.5000 0.5000 0.5000  12 Be 3.08
S 0.0000 0.0000 0.0000  6 Be 2.18

formation energy (no corrections)	0.522	eV per atom
energy above the most stable polymorph in this dataset	0.00	kcal/mol of atoms
crystal system	cubic
magnetic moment	0.0	μB per formula unit


Entry 11:
A geometry-optimized Ho8GaAu2 structure. Source: Alexandria, functional PBE.

a = 5.0860 Å, b = 6.8674 Å, c = 9.2148 Å
α = 106.01°, β = 106.02°, γ = 90.00°
Closest atoms and distances in Å follow each position.
Fractional coordinates of all 11 atoms:
Ho 0.0291 0.7801 0.0583  1 Au 2.88, 2 Ga 3.08
Ho 0.6679 0.9751 0.3358  3 Au 2.85-3.14, 1 Ga 3.03
Ho 0.9709 0.2199 0.9417  1 Au 2.88, 2 Ga 3.08
Ho 0.3321 0.0249 0.6642  3 Au 2.85-3.14, 1 Ga 3.03
Ho 0.5925 0.4575 0.1850  1 Ga 3.10, 2 Au 3.27, 5 Ho 3.42-3.46
Ho 0.4075 0.5425 0.8150  1 Ga 3.10, 2 Au 3.27, 5 Ho 3.42-3.46
Ho 0.1990 0.3187 0.3981  1 Au 2.86
Ho 0.8010 0.6813 0.6019  1 Au 2.86
Au 0.1835 0.7216 0.3670  5 Ho 2.85-3.14
Au 0.8165 0.2784 0.6330  5 Ho 2.85-3.14
Ga 0.5000 0.0000 0.0000  8 Ho 3.03-3.10

formation energy from the elements	-436	meV/atom
crystal system	monoclinic
magnetic moment	0.0	μB per formula unit


Entry 12:
A geometry-optimized HoB2IrRu structure. Source: Alexandria, functional PBE.

a = 3.9217 Å, b = 3.9217 Å, c = 5.4274 Å
α = 111.18°, β = 111.18°, γ = 90.00°
Closest atoms and distances in Å follow each position.
Fractional coordinates of all 5 atoms:
Ru 0.2500 0.7500 0.5000  4 B 2.14
B 0.3419 0.3419 0.6837  2 Ru 2.14, 2 Ir 2.14
B 0.6581 0.6581 0.3163  2 Ru 2.14, 2 Ir 2.14
Ho 0.0000 0.0000 0.0000  4 Ir 3.05, 4 Ru 3.05, 10 B 3.14-3.19
Ir 0.7500 0.2500 0.5000  4 B 2.14

formation energy from the elements	-621	meV/atom
crystal system	tetragonal
magnetic moment	0.0	μB per formula unit